{
  "formula": "CsCd2Au",
  "functional": "GGA-PBE",
  "state": "optimized geometry",
  "lattice": [[4.9335, 0.0000, 0.0000], [0.0000, 6.2881, 0.0000], [0.0000, 0.0000, 8.2811]],
  "species": ["Cd", "Cd", "Cd", "Cd", "Cs", "Cs", "Au", "Au"],
  "frac_coords": [[0.5000, 0.2536, 0.1215], [0.0000, 0.7536, 0.8785], [0.5000, 0.7464, 0.1215], [0.0000, 0.2464, 0.8785], [0.0000, 0.0000, 0.4310], [0.5000, 0.5000, 0.5690], [0.0000, 0.5000, 0.1735], [0.5000, 0.0000, 0.8265]],
  "formation_enthalpy_0k_ev_per_atom": -0.17,
  "e_above_lowest_polymorph_mev_per_atom": 32,
  "space_group": "No. 59"
}